# 1
GGA-PBE KYFe2, optimized geometry; V = 368.4 Å³/cell; energy of formation from the pure elements = 1.055 eV/atom; uncorrected energy = -5.07 eV/atom; magnetic moment = 17.83 μB per cell; SG = No. 225
1.0
7.1685 0.0000 0.0000
0.0000 7.1685 0.0000
0.0000 0.0000 7.1685
K Y Fe
4 4 8
Cartesian
0.0000 0.0000 0.0000
0.0000 3.5843 3.5843
3.5843 0.0000 3.5843
3.5843 3.5843 0.0000
0.0000 0.0000 3.5843
0.0000 3.5843 0.0000
3.5843 0.0000 0.0000
3.5843 3.5843 3.5843
1.7921 1.7921 1.7921
1.7921 1.7921 5.3764
1.7921 5.3764 1.7921
1.7921 5.3764 5.3764
5.3764 1.7921 1.7921
5.3764 1.7921 5.3764
5.3764 5.3764 1.7921
5.3764 5.3764 5.3764

---

# 2
GGA-PBE La2Tc, optimized geometry; V = 358.9 Å³/cell; energy of formation from the pure elements = 0.095 eV/atom; uncorrected energy = -6.65 eV/atom; magnetic moment = 0.00 μB per cell; SG = No. 141
1.0
3.5146 0.0000 0.0000
0.0000 3.5146 0.0000
0.0000 0.0000 29.0528
La Tc
8 4
Cartesian
0.0000 0.8787 9.1587
0.0000 0.8787 12.6308
0.0000 2.6360 16.4219
0.0000 2.6360 19.8940
1.7573 0.8787 1.8955
1.7573 0.8787 5.3676
1.7573 2.6360 23.6851
1.7573 2.6360 27.1572
0.0000 0.8787 25.4212
0.0000 2.6360 3.6316
1.7573 0.8787 18.1580
1.7573 2.6360 10.8948

---

# 3
GGA-PBE K2Ge3Pt6, optimized geometry; V = 215.4 Å³/cell; energy of formation from the pure elements = -0.292 eV/atom; uncorrected energy = -5.05 eV/atom; magnetic moment = 0.00 μB per cell; SG = No. 189
1.0
7.6691 0.0000 0.0000
-3.8346 6.6417 0.0000
0.0000 0.0000 4.2284
K Ge Pt
2 3 6
Cartesian
0.0000 4.4278 0.0000
3.8346 2.2139 0.0000
-1.4597 2.5282 2.1142
2.9193 0.0000 2.1142
2.3749 4.1135 2.1142
-0.7992 1.3843 0.0000
-2.7428 4.7508 2.1142
1.5985 0.0000 0.0000
1.0917 1.8909 2.1142
5.4857 0.0000 2.1142
3.0353 5.2574 0.0000

---

# 4
GGA-PBE Cs2Ce2PmSe6, optimized geometry; V = 414.0 Å³/cell; uncorrected energy = -5.29 eV/atom; magnetic moment = 1.02 μB per cell; formation energy (no corrections) = -18.96 eV/f.u.; SG = No. 12
1.0
3.7411 -6.4841 0.0000
3.7411 6.4841 0.0000
-2.4661 0.0000 8.5341
Cs Ce Pm Se
2 2 1 6
Cartesian
3.7411 4.3336 0.0000
3.7411 -4.3336 0.0000
2.5080 2.1548 4.2670
2.5080 -2.1548 4.2670
-1.2331 0.0000 4.2670
0.0230 2.1915 5.8266
1.2790 0.0000 2.7028
0.0230 -2.1915 5.8266
4.9930 2.1915 2.7074
3.7370 0.0000 5.8313
4.9930 -2.1915 2.7074